The following is a PBE calculation of an optimized crystal structure of MnRh, from Alexandria.

The calculation puts the energy of formation at 1.3550 eV per atom. As for the total energy: -6.905 eV per atom. As for the density of states at the Fermi level: 3.18 states/eV/f.u. The magnetic moment comes out at 1.583 Bohr magnetons per cell. The calculation puts the density at 5.911 g/cm³. As for the space group: I-43m.

Lattice parameters (Å, degrees): 7.0787 7.0787 7.0787 90.00 90.00 90.00
Fractional positions:
1 Mn 0.3678 0.6322 0.3678
2 Mn 0.3678 0.3678 0.6322
3 Mn 0.6322 0.6322 0.6322
4 Mn 0.8678 0.8678 0.1322
5 Mn 0.8678 0.1322 0.8678
6 Mn 0.1322 0.8678 0.8678
7 Mn 0.1322 0.1322 0.1322
8 Mn 0.6322 0.3678 0.3678
9 Rh 0.1893 0.8107 0.1893
10 Rh 0.8107 0.8107 0.8107
11 Rh 0.6893 0.6893 0.3107
12 Rh 0.6893 0.3107 0.6893
13 Rh 0.8107 0.1893 0.1893
14 Rh 0.1893 0.1893 0.8107
15 Rh 0.3107 0.6893 0.6893
16 Rh 0.3107 0.3107 0.3107

***

The following is a PBE calculation of an optimized crystal structure of MnRh2, from Alexandria.

The calculation puts the energy of formation at 0.4168 eV per atom. As for the total energy: -7.541 eV per atom. As for the density of states at the Fermi level: 4.45 states/eV/f.u. The distance to the lowest polymorph of the same formula is 526.3 meV/atom. The magnetic moment comes out at 2.962 Bohr magnetons per cell. The calculation puts the density at 9.133 g/cm³. As for the space group: P4/mmm.

Lattice parameters (Å, degrees): 4.0451 4.0451 2.8974 90.00 90.00 90.00
Fractional positions:
1 Mn 0.0000 0.0000 0.0000
2 Rh 0.0000 0.5000 0.5000
3 Rh 0.5000 0.0000 0.5000

***

The following is a PBE calculation of an optimized crystal structure of MnRh, from Alexandria.

The calculation puts the energy of formation at 1.0521 eV per atom. As for the total energy: -7.208 eV per atom. As for the density of states at the Fermi level: 2.97 states/eV/f.u. The magnetic moment comes out at 1.103 Bohr magnetons per cell. The calculation puts the density at 7.185 g/cm³. As for the space group: F-43m.

Lattice parameters (Å, degrees): 3.7226 3.7226 3.7226 60.00 60.00 60.00
Fractional positions:
1 Mn 0.0000 0.0000 0.0000
2 Rh 0.2500 0.2500 0.2500

***

The following is a PBE calculation of an optimized crystal structure of Mn2Rh, from Alexandria.

The calculation puts the energy of formation at -0.0375 eV per atom. As for the total energy: -8.601 eV per atom. As for the density of states at the Fermi level: 3.32 states/eV/f.u. The magnetic moment comes out at 1.928 Bohr magnetons per cell. The calculation puts the density at 9.400 g/cm³. As for the space group: C2/m.

Lattice parameters (Å, degrees): 4.8544 4.8544 6.2866 73.81 73.81 32.02
Fractional positions:
1 Mn 0.0353 0.0353 0.7308
2 Mn 0.3549 0.3549 0.0219
3 Mn 0.9647 0.9647 0.2692
4 Mn 0.6451 0.6451 0.9781
5 Rh 0.6782 0.6782 0.3684
6 Rh 0.3218 0.3218 0.6316

***

The following is a PBE calculation of an optimized crystal structure of MnRh, from Alexandria.

The calculation puts the energy of formation at 0.3891 eV per atom. As for the total energy: -7.871 eV per atom. As for the density of states at the Fermi level: 2.38 states/eV/f.u. The magnetic moment comes out at 0.561 Bohr magnetons per cell. The calculation puts the density at 8.662 g/cm³. As for the space group: P4/m.

Lattice parameters (Å, degrees): 9.4734 9.4734 2.6973 90.00 90.00 90.00
Fractional positions:
1 Mn 0.4656 0.6785 0.5000
2 Mn 0.1330 0.5102 0.0000
3 Mn 0.5344 0.3215 0.5000
4 Mn 0.4898 0.1330 0.0000
5 Mn 0.3215 0.4656 0.5000
6 Mn 0.5102 0.8670 0.0000
7 Mn 0.6785 0.5344 0.5000
8 Mn 0.8670 0.4898 0.0000
9 Rh 0.7331 0.7847 0.5000
10 Rh 0.2669 0.2153 0.5000
11 Rh 0.7847 0.2669 0.5000
12 Rh 0.7210 0.0348 0.0000
13 Rh 0.9652 0.7210 0.0000
14 Rh 0.2153 0.7331 0.5000
15 Rh 0.0348 0.2790 0.0000
16 Rh 0.2790 0.9652 0.0000

***

The following is a PBE calculation of an optimized crystal structure of MnRh2, from Alexandria.

The calculation puts the energy of formation at 0.5738 eV per atom. As for the total energy: -7.384 eV per atom. As for the density of states at the Fermi level: 4.42 states/eV/f.u. The distance to the lowest polymorph of the same formula is 683.4 meV/atom. The magnetic moment comes out at 10.912 Bohr magnetons per cell. The calculation puts the density at 9.120 g/cm³. As for the space group: Pa-3.

Lattice parameters (Å, degrees): 5.7480 5.7480 5.7480 90.00 90.00 90.00
Fractional positions:
1 Rh 0.6277 0.6277 0.6277
2 Rh 0.1277 0.6277 0.8723
3 Rh 0.8723 0.1277 0.6277
4 Rh 0.1277 0.8723 0.3723
5 Rh 0.3723 0.3723 0.3723
6 Rh 0.6277 0.8723 0.1277
7 Rh 0.8723 0.3723 0.1277
8 Rh 0.3723 0.1277 0.8723
9 Mn 0.0000 0.0000 0.0000
10 Mn 0.5000 0.5000 0.0000
11 Mn 0.5000 0.0000 0.5000
12 Mn 0.0000 0.5000 0.5000

***

- Number 6 is which compound?
  MnRh2